Entry 1:
LiReNi: relaxed, PBE.

The structure in POSCAR format:
```
LiReNi
1.0
4.4684 0.0000 0.0000
-2.0524 3.9813 0.0000
-0.9923 -1.6101 4.3168
Li Re Ni
2 2 2
Direct
0.0000 0.0000 0.0000 Li
0.5000 0.5000 0.5000 Li
0.1667 0.8334 0.4999 Re
0.8333 0.1666 0.5001 Re
0.3070 0.6931 0.9997 Ni
0.6930 0.3069 0.0003 Ni
```

Summary:
- SG: No. 2
- E_form: 168 meV/atom



Entry 2:
LiReNi: relaxed, PBE.

The structure in POSCAR format:
```
LiReNi
1.0
4.1713 0.0000 0.0000
-2.0857 3.6125 0.0000
0.0000 0.0000 5.0616
Li Re Ni
2 2 2
Direct
0.0000 0.0000 0.0000 Li
0.3333 0.6667 0.0861 Li
0.3333 0.6667 0.5830 Re
0.6667 0.3333 0.7667 Re
0.0000 0.0000 0.4823 Ni
0.6667 0.3333 0.2691 Ni
```

Summary:
- SG: No. 156
- E_form: 118 meV/atom



Entry 3:
LiReNi: relaxed, PBE.

The structure in POSCAR format:
```
LiReNi
1.0
0.0000 2.7493 2.7493
2.7493 0.0000 2.7493
2.7493 2.7493 0.0000
Li Re Ni
1 1 1
Direct
0.0000 0.0000 0.0000 Li
0.5000 0.5000 0.5000 Re
0.7500 0.7500 0.7500 Ni
```

Summary:
- SG: No. 216
- E_form: 633 meV/atom